Below is an optimized crystal structure of K2NaNbF6, with properties calculated at the GGA-PBEsol level. Values from VASP.

Quantum ESPRESSO input file:
```
&SYSTEM
  ibrav = 0, nat = 10, ntyp = 4
/
ATOMIC_SPECIES
Na 22.99 Na.upf
Nb 92.91 Nb.upf
K 39.10 K.upf
F 19.00 F.upf
CELL_PARAMETERS angstrom
-2.5739 -1.0017 -5.3922
-5.2757 -2.9594 -0.3354
-5.0476 2.9723 -1.5462
ATOMIC_POSITIONS crystal
Na 0.5000 0.5000 0.5000
Nb 0.0000 0.0000 0.0000
K 0.2500 0.2500 0.2500
K 0.7500 0.7500 0.7500
F 0.2427 0.7573 0.2427
F 0.2427 0.2427 0.7573
F 0.7573 0.7573 0.2427
F 0.2427 0.7573 0.7573
F 0.7573 0.2427 0.7573
F 0.7573 0.2427 0.2427
```

***

! ErCuP2 (GGA-PBEsol, optimized geometry); values from VASP
&SYSTEM
  ibrav = 0, nat = 16, ntyp = 3
/
ATOMIC_SPECIES
Er 167.26 Er.upf
Cu 63.55 Cu.upf
P 30.97 P.upf
CELL_PARAMETERS angstrom
3.6556 0.0000 0.0000
0.0000 3.6751 0.0000
0.0000 0.0000 18.9679
ATOMIC_POSITIONS crystal
Er 0.2500 0.7222 0.3831
Er 0.2500 0.7778 0.8831
Er 0.7500 0.2778 0.6169
Er 0.7500 0.2222 0.1169
Cu 0.2500 0.2205 0.2498
Cu 0.7500 0.7795 0.7502
Cu 0.2500 0.2795 0.7498
Cu 0.7500 0.7205 0.2502
P 0.7500 0.7941 0.5010
P 0.7500 0.7059 0.0010
P 0.2500 0.2059 0.4990
P 0.2500 0.2941 0.9990
P 0.2500 0.7217 0.1708
P 0.7500 0.2217 0.3292
P 0.7500 0.2783 0.8292
P 0.2500 0.7783 0.6708
! Energy of formation ... -91 kJ/mol of atoms

***

Below is an optimized crystal structure of MnGe2O6, with properties calculated at the GGA-PBEsol level. Values from VASP.

Quantum ESPRESSO input file:
```
&SYSTEM
  ibrav = 0, nat = 18, ntyp = 3
/
ATOMIC_SPECIES
Mn 54.94 Mn.upf
Ge 72.64 Ge.upf
O 16.00 O.upf
CELL_PARAMETERS angstrom
5.4400 0.0086 0.0081
1.7476 6.2795 0.0257
1.7476 0.4185 6.2656
ATOMIC_POSITIONS crystal
Mn 0.2500 0.9143 0.0857
Mn 0.7500 0.0857 0.9143
Ge 0.2653 0.3880 0.2015
Ge 0.2347 0.7985 0.6120
Ge 0.7347 0.6120 0.7985
Ge 0.7653 0.2015 0.3880
O 0.9382 0.3990 0.3327
O 0.5618 0.6673 0.6010
O 0.0618 0.6010 0.6673
O 0.4382 0.3327 0.3990
O 0.7522 0.0638 0.6401
O 0.7478 0.3599 0.9362
O 0.2478 0.9362 0.3599
O 0.2522 0.6401 0.0638
O 0.3701 0.1800 0.0191
O 0.1299 0.9809 0.8200
O 0.6299 0.8200 0.9809
O 0.8701 0.0191 0.1800
```

***

Number 1: uncorrected energy -5.335 eV/atom. Number 2: uncorrected energy -6.154 eV/atom. Number 3: uncorrected energy -7.241 eV/atom.